Sm2DyY6Th3 | PBE | optimized geometry

a b c (Å): 6.218 10.769 11.784
angles (deg): 90.00 100.16 90.00
Space group C2/m (No. 12)
Asymmetric unit:
Sm 0.000 0.166 0.000 (multiplicity 4)
Dy 0.000 0.500 0.000 (multiplicity 2)
Y 0.248 0.500 0.745 (multiplicity 4)
Y 0.249 0.167 0.745 (multiplicity 8)
Th 0.000 0.000 0.500 (multiplicity 2)
Th 0.000 0.333 0.500 (multiplicity 4)

Output
Calculated formation energy ... 0.02 eV per atom